Record 1
The following is a DFT calculation (GGA-PBE) of a relaxed NpCu3Cl6F2 crystal.

Lattice parameters (Å, degrees): 12.406 7.020 6.190 90.00 110.92 90.00
Space group C2/m (No. 12)
Asymmetric unit:
1 Np 0.000 0.000 0.000
2 Cu 0.000 0.500 0.500
3 Cu 0.250 0.250 0.000
4 Cl 0.110 0.259 0.281
5 Cl 0.154 0.000 0.788
6 F 0.136 0.500 0.766

Results
Volume = 20.982 Å³ per atom
Density = 4.47 g/cm3
Total DFT energy (no corrections) = -4.4672 eV/atom

Record 2
The following is a DFT calculation (GGA-PBE) of a relaxed NpCu2Cl2F6 crystal.

Lattice parameters (Å, degrees): 6.8011 6.8011 4.5869 90.00 90.00 120.00
Space group P-3m1 (No. 164)
Asymmetric unit:
1 Np 0.0000 0.0000 0.0000
2 Cu 0.3333 0.6667 0.7436
3 Cl 0.3333 0.6667 0.2455
4 F 0.1485 0.2970 0.7503

Results
Volume = 16.704 Å³ per atom
Density = 4.96 g/cm3
Total DFT energy (no corrections) = -5.3527 eV/atom

Record 3
The following is a DFT calculation (GGA-PBE) of a relaxed PaCu2Cl2F6 crystal.

Lattice parameters (Å, degrees): 5.8386 5.8386 7.6769 90.00 90.00 120.00
Space group P-3m1 (No. 164)
Asymmetric unit:
1 Pa 0.0000 0.0000 0.0000
2 Cu 0.3333 0.6667 0.6602
3 Cl 0.3333 0.6667 0.3852
4 F 0.1718 0.3437 0.8420

Results
Volume = 20.603 Å³ per atom
Density = 3.98 g/cm3
Total DFT energy (no corrections) = -5.2936 eV/atom

Record 4
The following is a DFT calculation (GGA-PBE) of a relaxed CuPbCl2F crystal.

Lattice parameters (Å, degrees): 5.629 5.629 4.317 90.00 90.00 90.00
Space group P4/mmm (No. 123)
Asymmetric unit:
1 Cu 0.000 0.000 0.000
2 Pb 0.500 0.500 0.000
3 Cl 0.000 0.500 0.500
4 F 0.500 0.500 0.500

Results
Volume = 27.361 Å³ per atom
Density = 4.38 g/cm3
Total DFT energy (no corrections) = -2.9501 eV/atom

Record 5
The following is a DFT calculation (GGA-PBE) of a relaxed Cu3PtCl2F6 crystal.

Lattice parameters (Å, degrees): 12.433 6.217 4.720 90.00 92.19 90.00
Space group C2/m (No. 12)
Asymmetric unit:
1 Cu 0.000 0.000 0.000
2 Cu 0.250 0.250 0.500
3 Pt 0.000 0.500 0.500
4 Cl 0.180 0.000 0.207
5 F 0.061 0.261 0.745
6 F 0.143 0.500 0.320

Results
Volume = 15.190 Å³ per atom
Density = 5.20 g/cm3
Total DFT energy (no corrections) = -3.8582 eV/atom

Record 6
The following is a DFT calculation (GGA-PBE) of a relaxed PuCu3Cl2F6 crystal.

Lattice parameters (Å, degrees): 14.958 6.046 5.152 90.00 94.76 90.00
Space group C2/m (No. 12)
Asymmetric unit:
1 Pu 0.000 0.000 0.000
2 Cu 0.000 0.500 0.500
3 Cu 0.250 0.250 0.000
4 Cl 0.197 0.500 0.727
5 F 0.042 0.263 0.273
6 F 0.132 0.000 0.870

Results
Volume = 19.346 Å³ per atom
Density = 4.43 g/cm3
Total DFT energy (no corrections) = -5.4041 eV/atom

Record 7
The following is a DFT calculation (GGA-PBE) of a relaxed Rb2CuClF3 crystal.

Lattice parameters (Å, degrees): 4.364 4.716 13.942 90.00 90.00 90.00
Space group Immm (No. 71)
Asymmetric unit:
1 Rb 0.000 0.000 0.156
2 Cu 0.000 0.000 0.500
3 Cl 0.000 0.500 0.500
4 F 0.000 0.000 0.356
5 F 0.000 0.500 0.000

Results
Volume = 20.496 Å³ per atom
Density = 3.78 g/cm3
Total DFT energy (no corrections) = -3.8821 eV/atom

Record 8
The following is a DFT calculation (GGA-PBE) of a relaxed Rb3Cu2Cl2F5 crystal.

Lattice parameters (Å, degrees): 4.391 4.391 23.353 90.00 90.00 90.00
Space group I4/mmm (No. 139)
Asymmetric unit:
1 Rb 0.000 0.000 0.000
2 Rb 0.000 0.000 0.166
3 Cu 0.000 0.000 0.415
4 Cl 0.000 0.000 0.315
5 F 0.000 0.000 0.500
6 F 0.000 0.500 0.084

Results
Volume = 18.765 Å³ per atom
Density = 4.05 g/cm3
Total DFT energy (no corrections) = -3.8948 eV/atom

Record 9
The following is a DFT calculation (GGA-PBE) of a relaxed RbCu2ClF2 crystal.

Lattice parameters (Å, degrees): 6.189 4.968 8.081 90.00 109.87 90.00
Space group P2_1/m (No. 11)
Asymmetric unit:
1 Rb 0.151 0.250 0.373
2 Cu 0.439 0.002 0.840
3 Cl 0.237 0.750 0.054
4 F 0.142 0.250 0.712
5 F 0.361 0.750 0.627

Results
Volume = 19.475 Å³ per atom
Density = 4.06 g/cm3
Total DFT energy (no corrections) = -3.7969 eV/atom

Record 10
The following is a DFT calculation (GGA-PBE) of a relaxed Rb2CuCl2F4 crystal.

Lattice parameters (Å, degrees): 6.893 6.893 7.506 90.00 90.00 90.00
Space group I4/mmm (No. 139)
Asymmetric unit:
1 Rb 0.000 0.500 0.250
2 Cu 0.000 0.000 0.000
3 Cl 0.000 0.000 0.361
4 F 0.194 0.194 0.000

Results
Volume = 19.816 Å³ per atom
Density = 3.55 g/cm3
Total DFT energy (no corrections) = -3.6317 eV/atom

Record 11
The following is a DFT calculation (GGA-PBE) of a relaxed Cu3ReCl2F6 crystal.

Lattice parameters (Å, degrees): 14.632 5.780 4.799 90.00 94.30 90.00
Space group C2/m (No. 12)
Asymmetric unit:
1 Cu 0.000 0.000 0.000
2 Cu 0.250 0.250 0.500
3 Re 0.000 0.500 0.500
4 Cl 0.196 0.000 0.199
5 F 0.050 0.251 0.749
6 F 0.113 0.500 0.314

Results
Volume = 16.862 Å³ per atom
Density = 4.61 g/cm3
Total DFT energy (no corrections) = -4.6649 eV/atom

Record 12
The following is a DFT calculation (GGA-PBE) of a relaxed CuRe2ClF crystal.

Lattice parameters (Å, degrees): 3.990 3.990 5.759 90.00 90.00 90.00
Space group P4/mmm (No. 123)
Asymmetric unit:
1 Cu 0.000 0.000 0.000
2 Re 0.000 0.500 0.500
3 Cl 0.500 0.500 0.000
4 F 0.000 0.000 0.500

Results
Volume = 18.337 Å³ per atom
Density = 8.88 g/cm3
Total DFT energy (no corrections) = -4.9424 eV/atom